{"formula": "Ca3Al2N4", "functional": "PBE", "state": "optimized geometry", "dft_energy_ev_per_atom": -6.31, "cell": [[5.722, -1.692, 0.000], [5.722, 1.692, 0.000], [-5.720, 0.000, 6.650]], "species": ["Ca", "Ca", "Ca", "Al", "Al", "N", "N", "N", "N"], "fractional_positions": [[0.000, 0.000, 0.000], [0.172, 0.172, 0.789], [0.828, 0.828, 0.211], [0.357, 0.357, 0.640], [0.643, 0.643, 0.360], [0.239, 0.239, 0.356], [0.432, 0.432, 0.139], [0.568, 0.568, 0.861], [0.761, 0.761, 0.644]]}